Computed, not measured: a relaxed structure of RbYTl2Ag at the PBE-GGA level of DFT.

D(E_F): 5.01 states/eV/f.u.
magnetization: 0.000 μB/atom
E_form: 1.240 eV per atom
energy: -8.8 eV/cell

CIF file:
```
data_RbYTl2Ag
_chemical_formula_sum 'Rb1 Y1 Tl2 Ag1'
_cell_length_a 6.0396
_cell_length_b 6.0396
_cell_length_c 6.1359
_cell_angle_alpha 90.00
_cell_angle_beta 90.00
_cell_angle_gamma 90.00
_symmetry_space_group_name_H-M 'P 4/m m m'
_symmetry_Int_Tables_number 123
_symmetry_space_group_name_Hall '-P 4 2'
loop_
_atom_site_label
_atom_site_fract_x
_atom_site_fract_y
_atom_site_fract_z
Rb1 0.0000 0.0000 0.0000
Y1 0.0000 0.0000 0.5000
Tl1 0.0000 0.5000 0.0000
Ag1 0.5000 0.5000 0.5000
```

***

Computed, not measured: a relaxed structure of RbTl2ZnAg at the PBE-GGA level of DFT.

D(E_F): 2.64 states/eV/f.u.
magnetization: 0.000 μB/atom
E_form: 0.141 eV per atom
energy: -9.1 eV/cell
energy above the lowest structure with this stoichiometry: 17 meV/atom

CIF file:
```
data_RbTl2ZnAg
_chemical_formula_sum 'Rb1 Tl2 Zn1 Ag1'
_cell_length_a 5.6592
_cell_length_b 5.6592
_cell_length_c 5.2296
_cell_angle_alpha 90.00
_cell_angle_beta 90.00
_cell_angle_gamma 90.00
_symmetry_space_group_name_H-M 'P 4/m m m'
_symmetry_Int_Tables_number 123
_symmetry_space_group_name_Hall '-P 4 2'
loop_
_atom_site_label
_atom_site_fract_x
_atom_site_fract_y
_atom_site_fract_z
Rb1 0.0000 0.0000 0.0000
Tl1 0.0000 0.5000 0.5000
Zn1 0.5000 0.5000 0.0000
Ag1 0.5000 0.5000 0.5000
```

***

Computed, not measured: a relaxed structure of Rb2TlZnAg at the PBE-GGA level of DFT.

D(E_F): 5.88 states/eV/f.u.
magnetization: 0.000 μB/atom
E_form: 0.232 eV per atom
energy: -7.3 eV/cell

CIF file:
```
data_Rb2TlZnAg
_chemical_formula_sum 'Rb2 Tl1 Zn1 Ag1'
_cell_length_a 6.8286
_cell_length_b 6.8286
_cell_length_c 5.3490
_cell_angle_alpha 90.00
_cell_angle_beta 90.00
_cell_angle_gamma 90.00
_symmetry_space_group_name_H-M 'P 4/m m m'
_symmetry_Int_Tables_number 123
_symmetry_space_group_name_Hall '-P 4 2'
loop_
_atom_site_label
_atom_site_fract_x
_atom_site_fract_y
_atom_site_fract_z
Rb1 0.0000 0.5000 0.0000
Tl1 0.0000 0.0000 0.5000
Zn1 0.5000 0.5000 0.5000
Ag1 0.0000 0.0000 0.0000
```

***

Computed, not measured: a relaxed structure of RbTl2ZnAg at the PBE-GGA level of DFT.

D(E_F): 3.01 states/eV/f.u.
magnetization: 0.000 μB/atom
E_form: 0.124 eV per atom
energy: -9.2 eV/cell
energy above the lowest structure with this stoichiometry: 0 meV/atom

CIF file:
```
data_RbTl2ZnAg
_chemical_formula_sum 'Rb1 Tl2 Zn1 Ag1'
_cell_length_a 5.4867
_cell_length_b 5.4867
_cell_length_c 5.3009
_cell_angle_alpha 90.00
_cell_angle_beta 90.00
_cell_angle_gamma 90.00
_symmetry_space_group_name_H-M 'P 4/m m m'
_symmetry_Int_Tables_number 123
_symmetry_space_group_name_Hall '-P 4 2'
loop_
_atom_site_label
_atom_site_fract_x
_atom_site_fract_y
_atom_site_fract_z
Rb1 0.0000 0.0000 0.0000
Tl1 0.0000 0.5000 0.5000
Zn1 0.5000 0.5000 0.5000
Ag1 0.5000 0.5000 0.0000
```

***

Computed, not measured: a relaxed structure of RbTlZnAg2 at the PBE-GGA level of DFT.

D(E_F): 1.73 states/eV/f.u.
magnetization: 0.000 μB/atom
E_form: 0.143 eV per atom
energy: -9.6 eV/cell

CIF file:
```
data_RbTlZnAg2
_chemical_formula_sum 'Rb1 Tl1 Zn1 Ag2'
_cell_length_a 5.2301
_cell_length_b 5.2301
_cell_length_c 5.3966
_cell_angle_alpha 90.00
_cell_angle_beta 90.00
_cell_angle_gamma 90.00
_symmetry_space_group_name_H-M 'P 4/m m m'
_symmetry_Int_Tables_number 123
_symmetry_space_group_name_Hall '-P 4 2'
loop_
_atom_site_label
_atom_site_fract_x
_atom_site_fract_y
_atom_site_fract_z
Rb1 0.0000 0.0000 0.0000
Tl1 0.5000 0.5000 0.0000
Zn1 0.5000 0.5000 0.5000
Ag1 0.0000 0.5000 0.5000
```

***

Computed, not measured: a relaxed structure of RbV3Ag at the PBE-GGA level of DFT.

D(E_F): 13.87 states/eV/f.u.
magnetization: 2.085 μB/atom
E_form: 1.630 eV per atom
energy: -23.0 eV/cell
energy above the lowest structure with this stoichiometry: 0 meV/atom

CIF file:
```
data_RbV3Ag
_chemical_formula_sum 'Rb1 V3 Ag1'
_cell_length_a 5.2157
_cell_length_b 5.2157
_cell_length_c 5.2157
_cell_angle_alpha 90.00
_cell_angle_beta 90.00
_cell_angle_gamma 90.00
_symmetry_space_group_name_H-M 'P m -3 m'
_symmetry_Int_Tables_number 221
_symmetry_space_group_name_Hall '-P 4 2 3'
loop_
_atom_site_label
_atom_site_fract_x
_atom_site_fract_y
_atom_site_fract_z
Rb1 0.0000 0.0000 0.0000
V1 0.0000 0.5000 0.5000
Ag1 0.5000 0.5000 0.5000
```